No. 1
Here is crystalline DyHo2Tm3S6 at its relaxed geometry from the Alexandria database. Energies are from PBE.

```
12
Lattice="3.856 0.000 0.000 0.000 7.758 0.260 -1.928 -2.254 8.113" Properties=species:S:1:pos:R:3 pbc="T T T"
S 0.000 1.709 5.530
S 0.000 5.633 5.623
S 1.928 -0.129 2.750
S 0.000 5.784 0.208
S 1.928 -0.281 8.166
S 1.928 3.795 2.843
Tm 1.928 3.879 0.130
Tm 0.000 5.715 2.915
Tm 1.928 -0.211 5.458
Ho 1.928 3.673 5.585
Ho 0.000 1.830 2.788
Dy 1.928 0.000 0.000
```

Calculated values
* raw formation energy: -23.47 eV/f.u.
* E_tot: -6.284 eV/atom
* SG: C2/m, No. 12

***

No. 2
Here is crystalline Dy4HoTm3S8 at its relaxed geometry from the Alexandria database. Energies are from PBE.

```
16
Lattice="7.749 0.000 0.000 0.000 7.767 0.007 -3.875 -3.871 5.482" Properties=species:S:1:pos:R:3 pbc="T T T"
Dy 0.000 0.000 0.000
Dy 1.937 -1.935 2.741
Dy -1.937 -1.935 2.741
Dy 3.875 0.000 0.000
S 3.875 3.856 2.722
S 0.000 3.855 2.738
S 1.949 1.965 0.026
S 5.801 1.965 0.026
S 3.875 0.041 2.751
S 1.926 1.932 5.463
S -1.926 1.932 5.463
S 0.000 0.041 2.767
Ho 0.000 3.884 0.004
Tm 3.875 3.884 0.004
Tm 1.937 1.948 2.745
Tm -1.937 1.948 2.745
```

Calculated values
* raw formation energy: -31.41 eV/f.u.
* E_tot: -6.302 eV/atom
* SG: R-3m, No. 166

***

No. 3
Here is crystalline DyHo2TmS4 at its relaxed geometry from the Alexandria database. Energies are from PBE.

```
8
Lattice="3.846 0.000 0.000 0.000 6.729 -0.153 0.000 2.350 6.321" Properties=species:S:1:pos:R:3 pbc="T T T"
Tm 0.000 4.539 3.084
S 0.000 6.802 4.609
S 1.923 3.451 4.680
S 3.846 2.277 1.560
S 1.923 5.628 1.488
Ho 1.923 1.175 3.161
Ho 0.000 2.350 6.321
Dy 1.923 3.364 -0.077
```

Calculated values
* raw formation energy: -15.72 eV/f.u.
* E_tot: -6.307 eV/atom
* SG: P2/m, No. 10

***

No. 4
Here is crystalline Dy4Y3HoS8 at its relaxed geometry from the Alexandria database. Energies are from PBE.

```
16
Lattice="7.816 0.000 0.000 0.000 7.816 -0.005 -3.908 -3.904 5.530" Properties=species:S:1:pos:R:3 pbc="T T T"
Dy 0.000 0.000 0.000
Dy 3.908 0.000 0.000
Dy 1.954 -1.952 2.765
Dy -1.954 -1.952 2.765
S -1.963 -1.948 5.524
S 3.908 -0.005 2.772
S 5.871 5.860 0.001
S 0.000 3.917 2.753
S 3.908 3.917 2.766
S 0.000 -0.005 2.759
S 1.945 5.860 0.001
S 1.963 -1.948 5.524
Y -1.954 1.956 2.762
Y 3.908 3.908 -0.003
Y 1.954 1.956 2.762
Ho 0.000 3.908 -0.003
```

Calculated values
* raw formation energy: -31.80 eV/f.u.
* E_tot: -6.700 eV/atom
* SG: R-3m, No. 166

***

No. 5
Here is crystalline DyY2HoS4 at its relaxed geometry from the Alexandria database. Energies are from PBE.

```
8
Lattice="-1.190 0.265 -3.679 -6.460 0.054 2.094 -1.928 6.407 1.086" Properties=species:S:1:pos:R:3 pbc="T T T"
Dy -3.825 0.160 -0.793
S -6.278 4.844 2.381
S -3.669 4.940 -0.498
S -3.300 1.883 -2.880
S -5.909 1.787 -0.001
Y -1.559 3.336 -1.297
Y -1.928 6.407 1.086
Ho -4.194 3.231 1.590
```

Calculated values
* raw formation energy: -15.90 eV/f.u.
* E_tot: -6.815 eV/atom
* SG: P2/m, No. 10

***

No. 6
Here is crystalline DyY4Ho3S8 at its relaxed geometry from the Alexandria database. Energies are from PBE.

```
16
Lattice="7.809 0.000 0.000 0.000 7.813 -0.003 -3.905 -3.901 5.523" Properties=species:S:1:pos:R:3 pbc="T T T"
Y 3.905 0.000 0.000
Y 0.000 0.000 0.000
Y -1.952 -1.950 2.762
Y 1.952 -1.950 2.762
S 0.000 3.891 2.755
S 3.905 0.021 2.765
S 0.000 0.021 2.774
S 1.958 1.965 0.012
S -1.947 1.947 5.508
S 5.851 1.965 0.012
S 3.905 3.891 2.747
S 1.947 1.947 5.508
Ho -1.952 1.956 2.760
Ho 1.952 1.956 2.760
Ho 3.905 3.906 -0.001
Dy 0.000 3.906 -0.001
```

Calculated values
* raw formation energy: -31.73 eV/f.u.
* E_tot: -6.809 eV/atom
* SG: R-3m, No. 166

***

No. 7
Here is crystalline Dy4YHo3S8 at its relaxed geometry from the Alexandria database. Energies are from PBE.

```
16
Lattice="7.798 0.000 0.000 0.000 7.801 -0.003 -3.899 -3.895 5.516" Properties=species:S:1:pos:R:3 pbc="T T T"
S 1.941 1.953 5.505
S 0.000 3.891 2.760
S 5.840 1.953 0.008
S 1.958 1.953 0.008
S 0.000 0.014 2.766
S -1.941 1.953 5.505
S 3.899 0.014 2.752
S 3.899 3.892 2.747
Ho 1.950 1.953 2.756
Ho 3.899 3.900 -0.002
Ho -1.950 1.953 2.756
Y 0.000 3.900 -0.002
Dy 1.950 -1.947 2.758
Dy 3.899 0.000 0.000
Dy 0.000 0.000 0.000
Dy -1.950 -1.947 2.758
```

Calculated values
* raw formation energy: -31.71 eV/f.u.
* E_tot: -6.459 eV/atom
* SG: R-3m, No. 166

***

No. 8
Here is crystalline DyY3Ho3S8 at its relaxed geometry from the Alexandria database. Energies are from PBE.

```
15
Lattice="7.783 0.000 0.000 -3.892 6.741 -0.023 0.000 -4.472 6.379" Properties=species:S:1:pos:R:3 pbc="T T T"
S 1.930 3.378 4.754
S 3.892 0.016 4.754
S 3.892 2.234 1.589
S -1.930 3.378 4.754
S 0.000 0.035 4.766
S 0.000 2.252 1.601
S 5.822 -1.109 1.601
S 1.962 -1.109 1.601
Ho -1.946 1.134 3.178
Ho 1.946 1.134 3.178
Ho 3.892 -2.236 3.189
Y 0.000 0.000 0.000
Y 1.946 3.370 -0.012
Y -1.946 3.370 -0.012
Dy 0.000 -2.236 3.189
```

Calculated values
* raw formation energy: -30.72 eV/f.u.
* E_tot: -6.764 eV/atom
* SG: R-3m, No. 166

***

No. 9
Here is crystalline Dy2YHoS6 at its relaxed geometry from the Alexandria database. Energies are from PBE.

```
10
Lattice="6.905 0.001 0.000 3.453 5.979 0.000 3.453 1.993 6.167" Properties=species:S:1:pos:R:3 pbc="T T T"
S 5.854 1.799 1.551
S 7.939 5.780 4.639
S 9.326 4.172 1.551
S 5.535 5.990 1.550
S 4.835 3.985 4.639
S 7.942 2.194 4.639
Ho 3.452 1.993 0.319
Dy 3.453 1.994 5.861
Dy 6.906 3.987 2.770
Y 10.357 5.980 3.414
```

Calculated values
* raw formation energy: -20.63 eV/f.u.
* E_tot: -6.564 eV/atom
* SG: R3, No. 146

***

No. 10
Here is crystalline DyYHo2S4 at its relaxed geometry from the Alexandria database. Energies are from PBE.

```
8
Lattice="3.867 0.000 0.000 0.000 6.773 -0.168 0.000 2.373 6.338" Properties=species:S:1:pos:R:3 pbc="T T T"
S 1.933 3.456 4.714
S 1.933 5.689 1.457
S 0.000 6.875 4.618
S 3.867 2.271 1.553
Dy 0.000 4.573 3.085
Y 1.933 3.386 -0.084
Ho 0.000 2.373 6.338
Ho 1.933 1.186 3.169
```

Calculated values
* raw formation energy: -15.86 eV/f.u.
* E_tot: -6.574 eV/atom
* SG: P2/m, No. 10

***

No. 11
Here is crystalline Dy2Y3HoS6 at its relaxed geometry from the Alexandria database. Energies are from PBE.

```
12
Lattice="6.773 -0.013 -0.001 -3.396 5.860 -0.001 -1.127 -1.952 6.383" Properties=species:S:1:pos:R:3 pbc="T T T"
S -1.128 1.945 1.583
S 2.248 -0.005 1.583
S 2.255 3.905 1.585
S 0.002 3.901 4.799
S 3.378 1.951 4.799
S -0.005 -0.009 4.796
Dy 3.385 1.944 -0.001
Dy -0.007 3.903 -0.001
Y -2.257 3.901 3.191
Y 1.125 1.948 3.191
Y 4.507 -0.006 3.191
Ho 0.000 0.000 0.000
```

Calculated values
* raw formation energy: -23.94 eV/f.u.
* E_tot: -6.824 eV/atom
* SG: C2/m, No. 12

***

No. 12
Here is crystalline DyY3Ho4S8 at its relaxed geometry from the Alexandria database. Energies are from PBE.

```
16
Lattice="-2.601 5.217 5.180 -7.078 -0.281 -3.272 3.420 -6.564 2.458" Properties=species:S:1:pos:R:3 pbc="T T T"
S -4.267 -2.195 0.068
S -5.974 1.081 -1.159
S -0.285 -2.709 5.526
S -1.992 0.567 4.299
S -7.277 3.694 1.435
S -5.569 0.410 2.661
S 1.018 -5.322 2.931
S -0.690 -2.038 1.706
Y -1.829 -3.422 -0.407
Y -3.130 -0.814 2.183
Y -4.840 2.468 0.954
Ho -1.301 2.609 2.590
Ho 0.409 -0.673 3.819
Ho 1.710 -3.282 1.229
Ho 0.000 0.000 0.000
Dy -3.539 -0.141 -1.636
```

Calculated values
* raw formation energy: -31.69 eV/f.u.
* E_tot: -6.688 eV/atom
* SG: R-3m, No. 166

***

No. 13
Here is crystalline Dy3Y3HoS8 at its relaxed geometry from the Alexandria database. Energies are from PBE.

```
15
Lattice="7.804 0.000 0.000 -3.902 6.758 -0.023 0.000 -4.484 6.390" Properties=species:S:1:pos:R:3 pbc="T T T"
S 5.853 -1.121 1.605
S 0.000 2.258 1.593
S 1.951 -1.121 1.605
S 3.902 2.258 1.593
S 0.000 0.017 4.774
S 3.902 0.017 4.775
S 1.951 3.396 4.762
S -1.951 3.396 4.762
Dy 3.902 -2.242 3.195
Dy 1.951 1.137 3.184
Dy -1.951 1.137 3.183
Y 1.951 3.379 -0.012
Y 0.000 0.000 0.000
Y -1.951 3.379 -0.012
Ho 0.000 -2.242 3.195
```

Calculated values
* raw formation energy: -30.80 eV/f.u.
* E_tot: -6.773 eV/atom
* SG: R-3m, No. 166

***

No. 14
Here is crystalline DyY3Ho2S6 at its relaxed geometry from the Alexandria database. Energies are from PBE.

```
12
Lattice="6.768 -0.013 -0.001 -3.394 5.855 -0.001 -1.126 -1.950 6.378" Properties=species:S:1:pos:R:3 pbc="T T T"
S 2.245 3.886 1.576
S -0.016 3.897 4.798
S 0.003 0.005 4.800
S 2.263 -0.005 1.579
S 3.383 1.934 4.798
S -1.136 1.958 1.579
Y -2.269 3.905 3.188
Y 4.516 -0.013 3.188
Y 1.124 1.946 3.188
Ho -0.006 3.898 -0.001
Ho 3.379 1.943 -0.001
Dy 0.000 0.000 0.000
```

Calculated values
* raw formation energy: -23.90 eV/f.u.
* E_tot: -6.818 eV/atom
* SG: C2/m, No. 12

***

No. 15
Here is crystalline Dy3HoSb2 at its relaxed geometry from the Alexandria database. Energies are from PBE.

```
6
Lattice="4.465 0.000 0.000 0.000 4.465 0.000 0.000 0.000 8.460" Properties=species:S:1:pos:R:3 pbc="T T T"
Ho 2.233 2.233 0.000
Dy 2.233 0.000 2.965
Dy 0.000 2.233 5.495
Dy 0.000 0.000 0.000
Sb 0.000 2.233 2.371
Sb 2.233 0.000 6.089
```

Calculated values
* energy above the lowest structure with this stoichiometry: 0.000 eV/f.u.
* raw formation energy: -4.77 eV/f.u.
* E_tot: -5.233 eV/atom
* SG: P-4m2, No. 115

***

No. 16
Here is crystalline Dy2Ho5Sb5 at its relaxed geometry from the Alexandria database. Energies are from PBE.

```
12
Lattice="4.329 0.000 0.000 -2.164 7.060 -0.228 0.000 -3.755 11.946" Properties=species:S:1:pos:R:3 pbc="T T T"
Dy 0.000 -2.326 9.351
Dy 2.164 5.630 2.368
Sb 2.164 -0.182 9.375
Sb 0.000 0.000 0.000
Sb 2.164 3.242 6.584
Sb 0.000 3.486 2.344
Sb 0.000 0.063 5.135
Ho 2.164 -1.878 5.973
Ho 2.164 1.828 3.989
Ho 0.000 1.182 11.365
Ho 2.164 2.122 0.354
Ho 0.000 1.477 7.729
```

Calculated values
* raw formation energy: -9.91 eV/f.u.
* E_tot: -5.218 eV/atom
* SG: C2/m, No. 12

***

No. 17
Here is crystalline Dy3Ho2Sb3 at its relaxed geometry from the Alexandria database. Energies are from PBE.

```
16
Lattice="-3.477 5.239 0.269 -6.856 -4.720 3.316 5.993 3.694 5.543" Properties=species:S:1:pos:R:3 pbc="T T T"
Ho 1.710 0.889 4.801
Ho -2.573 -1.916 4.059
Ho -0.029 3.509 4.935
Ho -4.312 0.704 4.193
Sb 1.050 6.184 3.585
Sb -1.396 0.683 5.475
Sb -2.944 3.529 3.653
Sb -3.541 -0.529 1.359
Sb -6.793 1.048 2.226
Sb 1.466 2.749 2.227
Dy -4.300 2.765 1.020
Dy -1.129 4.841 1.569
Dy -6.034 -2.246 2.565
Dy -3.258 3.156 6.875
Dy -1.082 1.056 2.253
Dy 3.645 4.092 4.243
```

Calculated values
* raw formation energy: -7.35 eV/f.u.
* E_tot: -5.335 eV/atom
* SG: P6_3/mcm, No. 193

***

No. 18
Here is crystalline Dy4HoSb2 at its relaxed geometry from the Alexandria database. Energies are from PBE.

```
7
Lattice="5.393 0.000 0.000 2.696 4.670 0.000 2.696 1.557 8.816" Properties=species:S:1:pos:R:3 pbc="T T T"
Dy 2.696 1.557 5.360
Dy 8.089 4.670 3.455
Dy 2.696 1.557 1.652
Dy 8.089 4.670 7.164
Ho 5.393 3.113 4.408
Sb 5.393 3.113 1.407
Sb 5.393 3.113 7.409
```

Calculated values
* raw formation energy: -2.88 eV/f.u.
* E_tot: -4.872 eV/atom
* SG: R-3m, No. 166

***

No. 19
Here is crystalline Dy2Ho5Sb4 at its relaxed geometry from the Alexandria database. Energies are from PBE.

```
11
Lattice="-0.896 -3.746 -1.118 3.219 1.039 -6.062 7.922 -3.354 12.078" Properties=species:S:1:pos:R:3 pbc="T T T"
Ho 6.023 -6.019 8.144
Ho 6.575 -5.064 4.501
Ho 4.222 -0.042 -3.245
Ho -0.448 -1.873 -0.559
Ho 3.669 -0.997 0.397
Sb 4.875 -2.770 -1.820
Sb 1.636 0.065 -1.530
Sb 8.609 -6.126 6.429
Sb 5.370 -3.291 6.718
Dy 5.917 -3.849 0.959
Dy 4.328 -2.212 3.939
```

Calculated values
* raw formation energy: -5.06 eV/f.u.
* E_tot: -4.877 eV/atom
* SG: C2/m, No. 12

***

No. 20
Here is crystalline DyHo2Sb at its relaxed geometry from the Alexandria database. Energies are from PBE.

```
4
Lattice="3.978 0.000 0.000 1.989 3.445 0.000 1.989 1.148 9.422" Properties=species:S:1:pos:R:3 pbc="T T T"
Ho 1.989 1.148 1.927
Ho 1.989 1.148 7.494
Sb 3.978 2.297 0.013
Dy 3.978 2.297 4.698
```

Calculated values
* energy above the lowest structure with this stoichiometry: 0.928 eV/f.u.
* raw formation energy: -1.26 eV/f.u.
* E_tot: -4.785 eV/atom
* SG: R3m, No. 160

***

No. 21
Here is crystalline DyHo2Sb at its relaxed geometry from the Alexandria database. Energies are from PBE.

```
4
Lattice="3.932 0.000 0.000 1.966 3.406 0.000 1.966 1.135 9.659" Properties=species:S:1:pos:R:3 pbc="T T T"
Ho 5.899 3.406 7.702
Ho 1.966 1.135 1.958
Sb 0.000 0.000 0.000
Dy 3.932 2.270 4.830
```

Calculated values
* energy above the lowest structure with this stoichiometry: 1.082 eV/f.u.
* raw formation energy: -1.11 eV/f.u.
* E_tot: -4.746 eV/atom
* SG: R-3m, No. 166

***

no.,M_tot (Bohr magnetons per cell)
1,0.00
2,0.00
3,0.00
4,0.00
5,0.00
6,0.00
7,0.00
8,0.00
9,0.00
10,0.00
11,0.00
12,0.00
13,0.00
14,0.00
15,0.00
16,0.00
17,0.00
18,0.00
19,0.02
20,0.74
21,0.26